An optimized crystal structure of Cd2H3Pd5. Source: Alexandria, functional GGA-PBE.

Properties
- uncorrected energy (eV/atom) = -3.93
- space-group type = Ibam, No. 72

a b c (Å): 5.530 7.797 7.797
angles (deg): 55.22 69.23 69.23
Fractional coordinates of all 20 atoms:
Pd 0.083 0.073 0.761
Pd 0.250 0.500 0.500
Pd 0.530 0.720 0.720
Pd 0.970 0.280 0.280
Pd 0.583 0.761 0.073
Pd 0.470 0.280 0.280
Pd 0.030 0.720 0.720
Pd 0.750 0.500 0.500
Pd 0.417 0.239 0.927
Pd 0.917 0.927 0.239
Cd 0.867 0.347 0.919
Cd 0.633 0.081 0.653
Cd 0.133 0.653 0.081
Cd 0.367 0.919 0.347
H 0.750 0.000 0.000
H 0.380 0.540 0.699
H 0.880 0.699 0.540
H 0.250 0.000 0.000
H 0.120 0.301 0.460
H 0.620 0.460 0.301